Computed, not measured: crystalline VBr2F at its relaxed geometry at the PBE+U level of DFT.

```
data_VBr2F
_chemical_formula_sum 'V4 Br8 F4'
_cell_length_a 9.6627
_cell_length_b 9.6627
_cell_length_c 3.9555
_cell_angle_alpha 90.00
_cell_angle_beta 90.00
_cell_angle_gamma 90.00
_symmetry_space_group_name_H-M 'I -4 2 d'
_symmetry_Int_Tables_number 122
_symmetry_space_group_name_Hall 'I -4 2bw'
loop_
_atom_site_label
_atom_site_type_symbol
_atom_site_fract_x
_atom_site_fract_y
_atom_site_fract_z
_atom_site_occupancy
V1 V 0.0000 0.0000 0.0000 1
Br1 Br 0.0897 0.2500 0.1250 1
F1 F 0.0000 0.0000 0.5000 1
```

Output
- ΔE to the lowest computed polymorph: 0.000 eV per atom
- DOS at the Fermi energy: 9.2 states/eV per cell
- Spin magnetization: 2.00 μB per formula unit